--- 1 ---
Computed, not measured: an optimized crystal structure of MnBe2Pt at the GGA-PBEsol level of DFT.

Unit cell a=3.647 b=2.716 c=8.562 alpha=90.00 beta=90.00 gamma=90.00
Space group Amm2 (No. 38)
One atom of each set of equivalent atoms:
Mn (0.000, 0.000, 0.000)
Be (0.000, 0.000, 0.723)
Be (0.500, 0.000, 0.581)
Pt (0.500, 0.000, 0.308)



--- 2 ---
Computed, not measured: an optimized crystal structure of MnBe2Pt at the GGA-PBEsol level of DFT.

Unit cell a=2.741 b=2.741 c=5.541 alpha=90.00 beta=90.00 gamma=90.00
Space group P4/mmm (No. 123)
One atom of each set of equivalent atoms:
Mn (0.000, 0.000, 0.000)
Be (0.500, 0.500, 0.244)
Pt (0.000, 0.000, 0.500)



--- 3 ---
Computed, not measured: an optimized crystal structure of MnBe2Pt at the GGA-PBEsol level of DFT.

Unit cell a=2.702 b=2.702 c=5.717 alpha=90.00 beta=90.00 gamma=90.00
Space group P4mm (No. 99)
One atom of each set of equivalent atoms:
Mn (0.000, 0.000, 0.000)
Be (0.000, 0.000, 0.570)
Be (0.500, 0.500, 0.770)
Pt (0.500, 0.500, 0.327)



Most stable one: 2, least stable one: 3.



--- 1 ---
Computed, not measured: an optimized crystal structure of MnBe2Pt at the GGA-PBEsol level of DFT.

Unit cell a=5.516 b=5.516 c=5.516 alpha=90.00 beta=90.00 gamma=90.00
Space group Fm-3m (No. 225)
One atom of each set of equivalent atoms:
Mn (0.000, 0.000, 0.000)
Be (0.250, 0.250, 0.250)
Pt (0.000, 0.000, 0.500)



--- 2 ---
Computed, not measured: an optimized crystal structure of MnBe2Pt at the GGA-PBEsol level of DFT.

Unit cell a=7.626 b=2.616 c=4.498 alpha=90.00 beta=100.31 gamma=90.00
Space group C2/m (No. 12)
One atom of each set of equivalent atoms:
Mn (0.000, 0.000, 0.000)
Be (0.249, 0.000, 0.758)
Pt (0.000, 0.500, 0.500)



Most stable one: 1, least stable one: 2.



--- 1 ---
Computed, not measured: an optimized crystal structure of MnBeRu at the GGA-PBEsol level of DFT.

Unit cell a=2.726 b=2.726 c=8.409 alpha=90.00 beta=90.00 gamma=90.00
Space group I4mm (No. 107)
One atom of each set of equivalent atoms:
Mn (0.000, 0.000, 0.000)
Be (0.000, 0.000, 0.652)
Ru (0.000, 0.000, 0.323)



--- 2 ---
Computed, not measured: an optimized crystal structure of MnBeRu at the GGA-PBEsol level of DFT.

Unit cell a=5.347 b=5.347 c=5.347 alpha=90.00 beta=90.00 gamma=90.00
Space group F-43m (No. 216)
One atom of each set of equivalent atoms:
Mn (0.000, 0.000, 0.000)
Be (0.000, 0.000, 0.500)
Ru (0.250, 0.250, 0.750)



Most stable one: 1, least stable one: 2.



--- 1 ---
Computed, not measured: an optimized crystal structure of Mn2BeSb at the GGA-PBEsol level of DFT.

Unit cell a=5.868 b=5.868 c=5.868 alpha=90.00 beta=90.00 gamma=90.00
Space group F-43m (No. 216)
One atom of each set of equivalent atoms:
Mn (0.000, 0.000, 0.000)
Mn (0.250, 0.250, 0.250)
Be (0.250, 0.250, 0.750)
Sb (0.000, 0.000, 0.500)



--- 2 ---
Computed, not measured: an optimized crystal structure of Mn2BeSb at the GGA-PBEsol level of DFT.

Unit cell a=2.978 b=2.978 c=5.552 alpha=90.00 beta=90.00 gamma=90.00
Space group P4mm (No. 99)
One atom of each set of equivalent atoms:
Mn (0.000, 0.000, 0.000)
Mn (0.500, 0.500, 0.263)
Be (0.500, 0.500, 0.854)
Sb (0.000, 0.000, 0.533)



Most stable one: 2, least stable one: 1.



--- 1 ---
Computed, not measured: an optimized crystal structure of Ta2MnBe2 at the GGA-PBEsol level of DFT.

Unit cell a=6.110 b=6.110 c=3.254 alpha=90.00 beta=90.00 gamma=90.00
Space group P4/mbm (No. 127)
One atom of each set of equivalent atoms:
Ta (0.179, 0.321, 0.000)
Mn (0.000, 0.000, 0.500)
Be (0.120, 0.620, 0.500)



--- 2 ---
Computed, not measured: an optimized crystal structure of Ta2MnBe2 at the GGA-PBEsol level of DFT.

Unit cell a=3.710 b=3.710 c=10.368 alpha=90.00 beta=90.00 gamma=90.00
Space group I4/mmm (No. 139)
One atom of each set of equivalent atoms:
Ta (0.000, 0.500, 0.250)
Mn (0.000, 0.000, 0.000)
Be (0.000, 0.000, 0.408)



Most stable one: 1, least stable one: 2.



--- 1 ---
Computed, not measured: an optimized crystal structure of MnBeTc at the GGA-PBEsol level of DFT.

Unit cell a=5.328 b=5.328 c=5.328 alpha=90.00 beta=90.00 gamma=90.00
Space group F-43m (No. 216)
One atom of each set of equivalent atoms:
Mn (0.000, 0.000, 0.000)
Be (0.250, 0.250, 0.250)
Tc (0.250, 0.250, 0.750)



--- 2 ---
Computed, not measured: an optimized crystal structure of MnBeTc at the GGA-PBEsol level of DFT.

Unit cell a=2.829 b=2.829 c=8.070 alpha=90.00 beta=90.00 gamma=90.00
Space group I4mm (No. 107)
One atom of each set of equivalent atoms:
Mn (0.000, 0.000, 0.000)
Be (0.000, 0.000, 0.346)
Tc (0.000, 0.000, 0.667)



Most stable one: 2, least stable one: 1.



--- 1 ---
Computed, not measured: an optimized crystal structure of MnBe2Tc at the GGA-PBEsol level of DFT.

Unit cell a=2.5407 b=2.5407 c=23.1645 alpha=90.00 beta=90.00 gamma=120.00
Space group R-3m (No. 166, hexagonal axes)
One atom of each set of equivalent atoms:
Mn (0.0000, 0.0000, 0.0000)
Be (0.0000, 0.0000, 0.2539)
Tc (0.0000, 0.0000, 0.5000)



--- 2 ---
Computed, not measured: an optimized crystal structure of MnBe2Tc at the GGA-PBEsol level of DFT.

Unit cell a=8.070 b=2.989 c=3.752 alpha=90.00 beta=117.51 gamma=90.00
Space group Cm (No. 8)
One atom of each set of equivalent atoms:
Mn (0.000, 0.000, 0.000)
Be (0.256, 0.500, 0.258)
Be (0.475, 0.000, 0.475)
Tc (0.235, 0.000, 0.736)



Most stable one: 2, least stable one: 1.



--- 1 ---
Computed, not measured: an optimized crystal structure of Mn2BeTl at the GGA-PBEsol level of DFT.

Unit cell a=3.788 b=3.788 c=3.822 alpha=90.00 beta=90.00 gamma=90.00
Space group P4/mmm (No. 123)
One atom of each set of equivalent atoms:
Mn (0.000, 0.500, 0.000)
Be (0.000, 0.000, 0.500)
Tl (0.500, 0.500, 0.500)



--- 2 ---
Computed, not measured: an optimized crystal structure of Mn2BeTl at the GGA-PBEsol level of DFT.

Unit cell a=3.794 b=3.794 c=7.592 alpha=90.00 beta=90.00 gamma=90.00
Space group I4/mmm (No. 139)
One atom of each set of equivalent atoms:
Mn (0.000, 0.500, 0.250)
Be (0.000, 0.000, 0.000)
Tl (0.000, 0.000, 0.500)



Most stable one: 2, least stable one: 1.



--- 1 ---
Computed, not measured: an optimized crystal structure of Mn2BeZn at the GGA-PBEsol level of DFT.

Unit cell a=2.785 b=3.767 c=7.905 alpha=90.00 beta=90.00 gamma=90.00
Space group Immm (No. 71)
One atom of each set of equivalent atoms:
Mn (0.000, 0.000, 0.241)
Be (0.000, 0.500, 0.500)
Zn (0.000, 0.500, 0.000)



--- 2 ---
Computed, not measured: an optimized crystal structure of Mn2BeZn at the GGA-PBEsol level of DFT.

Unit cell a=5.543 b=5.543 c=5.543 alpha=90.00 beta=90.00 gamma=90.00
Space group F-43m (No. 216)
One atom of each set of equivalent atoms:
Mn (0.000, 0.000, 0.000)
Mn (0.250, 0.250, 0.250)
Be (0.250, 0.250, 0.750)
Zn (0.000, 0.000, 0.500)



--- 3 ---
Computed, not measured: an optimized crystal structure of Mn2BeZn at the GGA-PBEsol level of DFT.

Unit cell a=2.686 b=2.686 c=5.783 alpha=90.00 beta=90.00 gamma=90.00
Space group P4mm (No. 99)
One atom of each set of equivalent atoms:
Mn (0.000, 0.000, 0.000)
Mn (0.500, 0.500, 0.213)
Be (0.500, 0.500, 0.773)
Zn (0.000, 0.000, 0.517)



Most stable one: 3, least stable one: 1.



--- 1 ---
Computed, not measured: an optimized crystal structure of MnBeZn at the GGA-PBEsol level of DFT.

Unit cell a=2.635 b=2.635 c=9.351 alpha=90.00 beta=90.00 gamma=90.00
Space group I4mm (No. 107)
One atom of each set of equivalent atoms:
Mn (0.000, 0.000, 0.000)
Be (0.000, 0.000, 0.354)
Zn (0.000, 0.000, 0.692)



--- 2 ---
Computed, not measured: an optimized crystal structure of MnBeZn at the GGA-PBEsol level of DFT.

Unit cell a=5.293 b=5.293 c=5.293 alpha=90.00 beta=90.00 gamma=90.00
Space group F-43m (No. 216)
One atom of each set of equivalent atoms:
Mn (0.000, 0.000, 0.000)
Be (0.250, 0.250, 0.250)
Zn (0.000, 0.000, 0.500)



Most stable one: 1, least stable one: 2.



--- 1 ---
Computed, not measured: an optimized crystal structure of BeMo at the GGA-PBEsol level of DFT.

Unit cell a=3.174 b=8.806 c=3.251 alpha=90.00 beta=90.00 gamma=90.00
Space group Cmcm (No. 63)
One atom of each set of equivalent atoms:
Be (0.000, 0.068, 0.250)
Mo (0.000, 0.344, 0.250)



--- 2 ---
Computed, not measured: an optimized crystal structure of BeMo at the GGA-PBEsol level of DFT.

Unit cell a=9.066 b=2.505 c=4.362 alpha=90.00 beta=106.72 gamma=90.00
Space group C2/m (No. 12)
One atom of each set of equivalent atoms:
Be (0.155, 0.000, 0.350)
Mo (0.099, 0.500, 0.817)



Most stable one: 1, least stable one: 2.



--- 1 ---
Computed, not measured: an optimized crystal structure of BeMo at the GGA-PBEsol level of DFT.

Unit cell a=2.6683 b=2.6683 c=25.0223 alpha=90.00 beta=90.00 gamma=120.00
Space group R-3m (No. 166, hexagonal axes)
One atom of each set of equivalent atoms:
Be (0.0000, 0.0000, 0.1313)
Mo (0.0000, 0.0000, 0.3818)



--- 2 ---
Computed, not measured: an optimized crystal structure of BeMo at the GGA-PBEsol level of DFT.

Unit cell a=3.478 b=3.478 c=7.968 alpha=90.00 beta=90.00 gamma=90.00
Space group I4_1/amd (No. 141, origin choice 2)
One atom of each set of equivalent atoms:
Be (0.000, 0.250, 0.375)
Mo (0.000, 0.250, 0.875)



Most stable one: 2, least stable one: 1.



--- 1 ---
Computed, not measured: an optimized crystal structure of Be2Mo at the GGA-PBEsol level of DFT.

Unit cell a=8.826 b=2.477 c=5.959 alpha=90.00 beta=92.05 gamma=90.00
Space group Cm (No. 8)
One atom of each set of equivalent atoms:
Be (0.000, 0.000, 0.000)
Be (0.116, 0.500, 0.257)
Be (0.236, 0.500, 0.957)
Be (0.379, 0.000, 0.734)
Mo (0.110, 0.000, 0.611)
Mo (0.354, 0.000, 0.317)



--- 2 ---
Computed, not measured: an optimized crystal structure of Be2Mo at the GGA-PBEsol level of DFT.

Unit cell a=8.907 b=2.479 c=6.246 alpha=90.00 beta=111.11 gamma=90.00
Space group C2/m (No. 12)
One atom of each set of equivalent atoms:
Be (0.039, 0.000, 0.228)
Be (0.154, 0.500, 0.025)
Mo (0.157, 0.500, 0.619)



Most stable one: 2, least stable one: 1.



--- 1 ---
Computed, not measured: an optimized crystal structure of BeMo2 at the GGA-PBEsol level of DFT.

Unit cell a=2.567 b=4.074 c=7.846 alpha=90.00 beta=90.00 gamma=90.00
Space group Immm (No. 71)
One atom of each set of equivalent atoms:
Be (0.000, 0.000, 0.000)
Mo (0.000, 0.000, 0.338)



--- 2 ---
Computed, not measured: an optimized crystal structure of BeMo2 at the GGA-PBEsol level of DFT.

Unit cell a=4.3759 b=4.3759 c=2.5379 alpha=90.00 beta=90.00 gamma=120.00
Space group P6/mmm (No. 191)
One atom of each set of equivalent atoms:
Be (0.0000, 0.0000, 0.0000)
Mo (0.3333, 0.6667, 0.5000)



Most stable one: 1, least stable one: 2.